Entry 1:
Computed, not measured: BaCa2W after structural relaxation at the PBE level of DFT.

Calculated values
DFT formation energy ... 431.2 kJ/mol of formula units
Calculated volume ... 236.4 Å³ per cell

```
data_BaCa2W
_chemical_formula_sum 'Ba2 Ca4 W2'
_symmetry_space_group_name_H-M 'C m m m'
_symmetry_Int_Tables_number 65
_symmetry_space_group_name_Hall '-C 2 2'
_cell_length_a 6.920
_cell_length_b 10.387
_cell_length_c 3.289
_cell_angle_alpha 90.00
_cell_angle_beta 90.00
_cell_angle_gamma 90.00
loop_
_atom_site_label
_atom_site_fract_x
_atom_site_fract_y
_atom_site_fract_z
Ba1 0.000 0.000 0.000
Ca1 0.250 0.250 0.500
W1 0.000 0.500 0.000
```

Entry 2:
Computed, not measured: La2TlGa3 after structural relaxation at the PBE level of DFT.

Calculated values
DFT formation energy ... -322.4 kJ/mol of formula units
Calculated volume ... 1239.5 Å³ per cell

```
data_La2TlGa3
_chemical_formula_sum 'La16 Tl8 Ga24'
_symmetry_space_group_name_H-M 'F m m m'
_symmetry_Int_Tables_number 69
_symmetry_space_group_name_Hall '-F 2 2'
_cell_length_a 8.930
_cell_length_b 8.939
_cell_length_c 15.528
_cell_angle_alpha 90.00
_cell_angle_beta 90.00
_cell_angle_gamma 90.00
loop_
_atom_site_label
_atom_site_fract_x
_atom_site_fract_y
_atom_site_fract_z
La1 0.250 0.000 0.000
La2 0.250 0.250 0.250
Tl1 0.000 0.000 0.167
Ga1 0.000 0.000 0.340
Ga2 0.000 0.240 0.420
```

Entry 3:
Computed, not measured: GaB3Te after structural relaxation at the PBE level of DFT.

Calculated values
Formation energy (no corrections) ... 208 kJ per mole of atoms
Calculated volume ... 89.4 Å³ per cell

```
data_GaB3Te
_chemical_formula_sum 'Ga1 B3 Te1'
_symmetry_space_group_name_H-M 'P m -3 m'
_symmetry_Int_Tables_number 221
_symmetry_space_group_name_Hall '-P 4 2 3'
_cell_length_a 4.471
_cell_length_b 4.471
_cell_length_c 4.471
_cell_angle_alpha 90.00
_cell_angle_beta 90.00
_cell_angle_gamma 90.00
loop_
_atom_site_label
_atom_site_fract_x
_atom_site_fract_y
_atom_site_fract_z
Ga1 0.000 0.000 0.000
B1 0.000 0.500 0.500
Te1 0.500 0.500 0.500
```

Entry 4:
Computed, not measured: Rb3CaGe2Cl9 after structural relaxation at the PBE level of DFT.

Calculated values
Formation energy (no corrections) ... -154 kJ per mole of atoms
Calculated volume ... 459.2 Å³ per cell

```
data_Rb3CaGe2Cl9
_chemical_formula_sum 'Rb3 Ca1 Ge2 Cl9'
_symmetry_space_group_name_H-M 'P -3 m 1'
_symmetry_Int_Tables_number 164
_symmetry_space_group_name_Hall '-P 3 2"'
_cell_length_a 7.5650
_cell_length_b 7.5650
_cell_length_c 9.2651
_cell_angle_alpha 90.00
_cell_angle_beta 90.00
_cell_angle_gamma 120.00
loop_
_atom_site_label
_atom_site_fract_x
_atom_site_fract_y
_atom_site_fract_z
Rb1 0.0000 0.0000 0.0000
Rb2 0.3333 0.6667 0.6712
Ca1 0.0000 0.0000 0.5000
Ge1 0.3333 0.6667 0.1633
Cl1 0.0000 0.5000 0.0000
Cl2 0.1688 0.3376 0.3306
```

Entry 5:
Computed, not measured: SmMg3Pb6 after structural relaxation at the PBE level of DFT.

Calculated values
DFT formation energy ... -118.8 kJ/mol of formula units
Calculated volume ... 558.1 Å³ per cell

```
data_SmMg3Pb6
_chemical_formula_sum 'Sm2 Mg6 Pb12'
_symmetry_space_group_name_H-M 'P 1 21/m 1'
_symmetry_Int_Tables_number 11
_cell_length_a 10.204
_cell_length_b 4.818
_cell_length_c 11.404
_cell_angle_alpha 90.00
_cell_angle_beta 95.46
_cell_angle_gamma 90.00
loop_
_symmetry_equiv_pos_as_xyz
'x,y,z'
'-x,-y,-z'
'-x,y+1/2,-z'
'x,-y+1/2,z'
loop_
_atom_site_label
_atom_site_fract_x
_atom_site_fract_y
_atom_site_fract_z
Sm1 0.061 0.250 0.385
Mg1 0.249 0.250 0.005
Mg2 0.343 0.750 0.803
Mg3 0.445 0.250 0.598
Pb1 0.063 0.750 0.907
Pb2 0.158 0.750 0.196
Pb3 0.165 0.250 0.699
Pb4 0.266 0.750 0.505
Pb5 0.377 0.250 0.300
Pb6 0.457 0.750 0.095
```

Entry 6:
Computed, not measured: CaPW2 after structural relaxation at the PBE level of DFT.

Calculated values
DFT formation energy ... 234.9 kJ/mol of formula units
Calculated volume ... 70.2 Å³ per cell

```
data_CaPW2
_chemical_formula_sum 'Ca1 P1 W2'
_symmetry_space_group_name_H-M 'P 4/m m m'
_symmetry_Int_Tables_number 123
_symmetry_space_group_name_Hall '-P 4 2'
_cell_length_a 3.845
_cell_length_b 3.845
_cell_length_c 4.750
_cell_angle_alpha 90.00
_cell_angle_beta 90.00
_cell_angle_gamma 90.00
loop_
_atom_site_label
_atom_site_fract_x
_atom_site_fract_y
_atom_site_fract_z
Ca1 0.000 0.000 0.000
P1 0.500 0.500 0.000
W1 0.000 0.500 0.500
```

Entry 7:
Computed, not measured: Ac3Ag2Pd after structural relaxation at the PBE level of DFT.

Calculated values
DFT formation energy ... -233.9 kJ/mol of formula units
Calculated volume ... 358.1 Å³ per cell

```
data_Ac3Ag2Pd
_chemical_formula_sum 'Ac6 Ag4 Pd2'
_symmetry_space_group_name_H-M 'C m m m'
_symmetry_Int_Tables_number 65
_symmetry_space_group_name_Hall '-C 2 2'
_cell_length_a 5.546
_cell_length_b 16.479
_cell_length_c 3.919
_cell_angle_alpha 90.00
_cell_angle_beta 90.00
_cell_angle_gamma 90.00
loop_
_atom_site_label
_atom_site_fract_x
_atom_site_fract_y
_atom_site_fract_z
Ac1 0.000 0.000 0.000
Ac2 0.000 0.343 0.000
Ag1 0.000 0.176 0.500
Pd1 0.000 0.500 0.500
```

Entry 8:
Computed, not measured: Ti2AgPt2 after structural relaxation at the PBE level of DFT.

Calculated values
DFT formation energy ... -280.1 kJ/mol of formula units
Calculated volume ... 169.4 Å³ per cell

```
data_Ti2AgPt2
_chemical_formula_sum 'Ti4 Ag2 Pt4'
_symmetry_space_group_name_H-M 'P 4/m b m'
_symmetry_Int_Tables_number 127
_symmetry_space_group_name_Hall '-P 4 2ab'
_cell_length_a 7.793
_cell_length_b 7.793
_cell_length_c 2.790
_cell_angle_alpha 90.00
_cell_angle_beta 90.00
_cell_angle_gamma 90.00
loop_
_atom_site_label
_atom_site_fract_x
_atom_site_fract_y
_atom_site_fract_z
Ti1 0.153 0.347 0.000
Ag1 0.000 0.000 0.000
Pt1 0.140 0.640 0.500
```